Compound: TaVNF2
Source: the Alexandria database
Functional: PBE with a Hubbard U
Structure: optimized geometry

a = 4.1363 Å, b = 4.1363 Å, c = 4.0717 Å
α = 90.00°, β = 90.00°, γ = 90.00°
Closest atoms and distances in Å follow each position.
Space group P4/mmm (No. 123)
Unique sites:
Ta 0.0000 0.0000 0.0000 [1 per cell]  2 N 2.04, 4 F 2.07
V 0.5000 0.5000 0.5000 [1 per cell]  8 F 2.90, 4 N 2.92
N 0.0000 0.0000 0.5000 [1 per cell]  2 Ta 2.04
F 0.0000 0.5000 0.0000 [2 per cell]  2 Ta 2.07

Summary:
Excess energy over the best structure of this formula in the dataset = 0.0 meV per atom
Size of the total moment = 0.8151 μB/atom
Mass density = 6.8 g cm⁻³

---

Compound: TaWN2F
Source: the Alexandria database
Functional: PBE with a Hubbard U
Structure: optimized geometry

a = 4.0791 Å, b = 4.0791 Å, c = 3.9377 Å
α = 90.00°, β = 90.00°, γ = 90.00°
Closest atoms and distances in Å follow each position.
Space group P4/mmm (No. 123)
Unique sites:
Ta 0.0000 0.0000 0.0000 [1 per cell]  8 N 2.83, 4 F 2.88
W 0.5000 0.5000 0.5000 [1 per cell]  2 F 1.97, 4 N 2.04
N 0.0000 0.5000 0.5000 [2 per cell]  2 W 2.04
F 0.5000 0.5000 0.0000 [1 per cell]  2 W 1.97

Summary:
Excess energy over the best structure of this formula in the dataset = 629.5 meV per atom
Size of the total moment = 0.4561 μB/atom
Mass density = 10.4 g cm⁻³

---

Compound: TaWN2F
Source: the Alexandria database
Functional: PBE with a Hubbard U
Structure: optimized geometry

a = 4.1168 Å, b = 4.1168 Å, c = 3.9662 Å
α = 90.00°, β = 90.00°, γ = 90.00°
Closest atoms and distances in Å follow each position.
Space group P4/mmm (No. 123)
Unique sites:
Ta 0.0000 0.0000 0.0000 [1 per cell]  2 F 1.98, 4 N 2.06
W 0.5000 0.5000 0.5000 [1 per cell]  8 N 2.86, 4 F 2.91
N 0.0000 0.5000 0.0000 [2 per cell]  2 Ta 2.06
F 0.0000 0.0000 0.5000 [1 per cell]  2 Ta 1.98

Summary:
Excess energy over the best structure of this formula in the dataset = 0.0 meV per atom
Size of the total moment = 0.7305 μB/atom
Mass density = 10.2 g cm⁻³